{
  "formula": "Sc2AgW",
  "functional": "SCAN",
  "state": "single point on PBEsol structure",
  "delta_e_f_kj_per_mol_atoms": 26.6,
  "e_above_lowest_polymorph_mev_per_atom": 143.8,
  "total_magnetization_mub_per_cell": 0.0,
  "lattice": [[-3.337, 2.218, 0.411], [0.117, -0.562, 3.987], [4.118, 2.863, -1.752]],
  "species": ["Sc", "Sc", "Ag", "W"],
  "fractional_positions": [[0.750, 0.250, 0.500], [0.000, 0.000, 0.000], [0.250, 0.750, 0.500], [0.500, 0.500, 0.000]]
}